Y3TmIn4 after structural relaxation, computed with PBE.

SG: P4/mmm
ΔE_f: -0.48 eV per atom
Magnetization: 0.0 Bohr magnetons per cell

```
data_Y3TmIn4
_chemical_formula_sum 'Y3 Tm1 In4'
_space_group_name_H-M_alt 'P 1'
_space_group_IT_number 1
_cell_length_a 3.754
_cell_length_b 3.754
_cell_length_c 15.036
_cell_angle_alpha 90.00
_cell_angle_beta 90.00
_cell_angle_gamma 90.00
loop_
_space_group_symop_operation_xyz
'x,y,z'
loop_
_atom_site_label
_atom_site_type_symbol
_atom_site_fract_x
_atom_site_fract_y
_atom_site_fract_z
Y1 Y 0.500 0.500 0.500
Y2 Y 0.500 0.500 0.247
Y3 Y 0.500 0.500 0.753
In1 In 0.000 0.000 0.374
In2 In 0.000 0.000 0.879
In3 In 0.000 0.000 0.626
In4 In 0.000 0.000 0.121
Tm1 Tm 0.500 0.500 0.000
```



Y4Tm4In after structural relaxation, computed with PBE.

SG: I4/mmm
ΔE_f: -0.07 eV per atom
Magnetization: 0.0 Bohr magnetons per cell

```
data_Y4Tm4In
_chemical_formula_sum 'Y4 Tm4 In1'
_space_group_name_H-M_alt 'P 1'
_space_group_IT_number 1
_cell_length_a 4.807
_cell_length_b 7.883
_cell_length_c 7.883
_cell_angle_alpha 84.67
_cell_angle_beta 72.25
_cell_angle_gamma 72.25
loop_
_space_group_symop_operation_xyz
'x,y,z'
loop_
_atom_site_label
_atom_site_type_symbol
_atom_site_fract_x
_atom_site_fract_y
_atom_site_fract_z
Y1 Y 0.339 0.322 0.000
Y2 Y 0.339 0.000 0.322
Y3 Y 0.661 0.000 0.678
Y4 Y 0.661 0.678 0.000
Tm1 Tm 0.338 0.662 0.662
Tm2 Tm 0.000 0.338 0.662
Tm3 Tm 0.662 0.338 0.338
Tm4 Tm 0.000 0.662 0.338
In1 In 0.000 0.000 0.000
```